VASP calculation (PBE) on a relaxed Lu2OsPd crystal.

The energy of formation comes out at -86 meV per atom. As for the total energy: -6.4484 eV/atom. Its space-group type is F-43m.

Unit cell a=4.739 b=4.739 c=4.739 alpha=60.00 beta=60.00 gamma=60.00
Fractional coordinates of all 4 atoms:
Pd (0.500, 0.500, 0.500)
Lu (0.000, 0.000, 0.000)
Os (0.250, 0.250, 0.250)
Lu (0.750, 0.750, 0.750)